--- P ---
This record from the Alexandria database describes a relaxed structure of Te4PtRh. The functional is PBE-GGA.

a b c (Å): 4.043 5.329 7.018
angles (deg): 89.80 90.00 90.00
Fractional coordinates of all 6 atoms:
Te: 0.000 0.748 0.673
Te: 0.500 0.252 0.837
Te: 0.000 0.252 0.327
Te: 0.500 0.748 0.163
Rh: 0.000 0.000 0.000
Pt: 0.500 0.000 0.500

--- Q ---
This record from the Alexandria database describes a relaxed structure of Te4PtRh. The functional is PBE-GGA.

a b c (Å): 6.038 6.038 6.038
angles (deg): 60.00 60.00 60.00
Each line ends with the local moment (μB).
Fractional coordinates of all 6 atoms:
Pt: 0.750 0.750 0.750  0.04
Te: 0.376 0.873 0.376  0.01
Te: 0.873 0.376 0.376  0.01
Te: 0.376 0.376 0.376  0.01
Te: 0.376 0.376 0.873  0.01
Rh: 0.000 0.000 0.000  0.32

Winner for stability: P

--- P ---
This record from the Alexandria database describes a relaxed structure of Th4PtRh3. The functional is PBE-GGA.

a b c (Å): 5.845 5.845 5.845
angles (deg): 90.00 90.00 90.00
Fractional coordinates of all 8 atoms:
Th: 0.500 0.500 0.500
Th: 0.000 0.000 0.500
Th: 0.500 0.000 0.000
Th: 0.000 0.500 0.000
Rh: 0.500 0.500 0.000
Rh: 0.000 0.500 0.500
Rh: 0.500 0.000 0.500
Pt: 0.000 0.000 0.000

--- Q ---
This record from the Alexandria database describes a relaxed structure of Th4PtRh3. The functional is PBE-GGA.

a b c (Å): 4.131 7.158 7.158
angles (deg): 70.49 89.99 89.99
Fractional coordinates of all 8 atoms:
Pt: 0.500 0.500 0.000
Rh: 0.000 0.000 0.000
Rh: 0.500 0.000 0.500
Rh: 0.000 0.500 0.500
Th: 0.500 0.248 0.748
Th: 0.500 0.753 0.252
Th: 0.000 0.245 0.255
Th: 0.000 0.756 0.745

Winner for stability: Q

--- P ---
This record from the Alexandria database describes a relaxed structure of TmThPtRh. The functional is PBE-GGA.

a b c (Å): 3.805 4.329 5.770
angles (deg): 90.00 109.25 90.00
Fractional coordinates of all 4 atoms:
Th: 0.865 0.500 0.730
Tm: 0.140 0.000 0.279
Rh: 0.404 0.000 0.808
Pt: 0.591 0.500 0.183

--- Q ---
This record from the Alexandria database describes a relaxed structure of TmThPtRh. The functional is PBE-GGA.

a b c (Å): 4.989 4.989 4.989
angles (deg): 60.00 60.00 60.00
Fractional coordinates of all 4 atoms:
Rh: 0.750 0.750 0.750
Tm: 0.500 0.500 0.500
Pt: 0.250 0.250 0.250
Th: 0.000 0.000 0.000

Winner for stability: P

--- P ---
This record from the Alexandria database describes a relaxed structure of Ti2PtRh2. The functional is PBE-GGA.

a b c (Å): 3.651 4.065 10.359
angles (deg): 90.00 100.19 90.00
Each line ends with the local moment (μB).
Fractional coordinates of all 10 atoms:
Rh: 0.949 0.250 0.900  0.01
Rh: 0.247 0.750 0.494  0.00
Rh: 0.753 0.250 0.506  0.00
Rh: 0.051 0.750 0.100  0.01
Ti: 0.338 0.250 0.676  0.04
Ti: 0.551 0.250 0.102  0.27
Ti: 0.662 0.750 0.324  0.04
Ti: 0.449 0.750 0.898  0.27
Pt: 0.146 0.250 0.293  0.00
Pt: 0.854 0.750 0.707  0.00

--- Q ---
This record from the Alexandria database describes a relaxed structure of Ti2PtRh2. The functional is PBE-GGA.

a b c (Å): 7.306 7.306 2.916
angles (deg): 90.00 90.00 90.00
Fractional coordinates of all 10 atoms:
Rh: 0.140 0.640 0.500
Rh: 0.360 0.140 0.500
Rh: 0.640 0.860 0.500
Rh: 0.860 0.360 0.500
Ti: 0.342 0.842 0.000
Ti: 0.158 0.342 0.000
Ti: 0.658 0.158 0.000
Ti: 0.842 0.658 0.000
Pt: 0.500 0.500 0.000
Pt: 0.000 0.000 0.000

--- R ---
This record from the Alexandria database describes a relaxed structure of Ti2PtRh2. The functional is PBE-GGA.

a b c (Å): 7.249 7.249 2.927
angles (deg): 90.00 90.00 90.00
Fractional coordinates of all 10 atoms:
Rh: 0.866 0.634 0.000
Rh: 0.634 0.134 0.000
Rh: 0.366 0.866 0.000
Rh: 0.134 0.366 0.000
Ti: 0.332 0.168 0.500
Ti: 0.668 0.832 0.500
Ti: 0.168 0.668 0.500
Ti: 0.832 0.332 0.500
Pt: 0.500 0.500 0.000
Pt: 0.000 0.000 0.000

Winner for stability: P

--- P ---
This record from the Alexandria database describes a relaxed structure of Ti6PtRh2. The functional is PBE-GGA.

a b c (Å): 2.738 7.708 8.170
angles (deg): 118.14 110.60 90.00
Fractional coordinates of all 9 atoms:
Ti: 0.333 0.003 0.659
Ti: 0.500 0.669 0.000
Ti: 0.667 0.997 0.341
Ti: 0.333 0.656 0.659
Ti: 0.667 0.344 0.341
Ti: 0.500 0.331 0.000
Rh: 0.659 0.335 0.670
Rh: 0.341 0.665 0.330
Pt: 0.000 0.000 0.000

--- Q ---
This record from the Alexandria database describes a relaxed structure of Ti6PtRh2. The functional is PBE-GGA.

a b c (Å): 5.103 6.858 8.636
angles (deg): 90.00 90.86 90.00
Fractional coordinates of all 18 atoms:
Ti: 0.863 0.749 0.924
Ti: 0.363 0.751 0.424
Ti: 0.327 0.580 0.732
Ti: 0.137 0.251 0.076
Ti: 0.664 0.139 0.965
Ti: 0.836 0.639 0.535
Ti: 0.637 0.249 0.576
Ti: 0.827 0.920 0.232
Ti: 0.336 0.861 0.035
Ti: 0.673 0.420 0.268
Ti: 0.164 0.361 0.465
Ti: 0.173 0.080 0.768
Rh: 0.112 0.586 0.213
Rh: 0.612 0.914 0.713
Rh: 0.888 0.414 0.787
Rh: 0.388 0.086 0.287
Pt: 0.500 0.500 0.000
Pt: 0.000 0.000 0.500

Winner for stability: Q

--- P ---
This record from the Alexandria database describes a relaxed structure of Ti3PtRh2. The functional is PBE-GGA.

a b c (Å): 2.911 2.911 10.780
angles (deg): 90.00 90.00 90.00
Each line ends with the local moment (μB).
Fractional coordinates of all 6 atoms:
Rh: 0.500 0.500 0.843  0.03
Rh: 0.500 0.500 0.157  0.03
Pt: 0.500 0.500 0.500  0.00
Ti: 0.000 0.000 0.676  0.26
Ti: 0.000 0.000 0.000  -0.02
Ti: 0.000 0.000 0.324  0.26

--- Q ---
This record from the Alexandria database describes a relaxed structure of Ti3PtRh2. The functional is PBE-GGA.

a b c (Å): 3.621 4.097 12.283
angles (deg): 90.00 90.00 90.00
Fractional coordinates of all 12 atoms:
Rh: 0.000 0.000 0.334
Rh: 0.000 0.500 0.166
Rh: 0.000 0.500 0.834
Rh: 0.000 0.000 0.666
Ti: 0.499 0.000 0.168
Ti: 0.500 0.500 0.000
Ti: 0.500 0.000 0.500
Ti: 0.499 0.000 0.832
Ti: 0.501 0.500 0.332
Ti: 0.501 0.500 0.668
Pt: 0.000 0.000 0.000
Pt: 0.000 0.500 0.500

Winner for stability: Q

--- P ---
This record from the Alexandria database describes a relaxed structure of Ti3PtRh. The functional is PBE-GGA.

a b c (Å): 6.474 7.392 7.392
angles (deg): 64.85 89.92 89.92
Fractional coordinates of all 20 atoms:
Ti: 0.947 0.407 0.301
Ti: 0.053 0.593 0.699
Ti: 0.049 0.232 0.059
Ti: 0.908 0.820 0.311
Ti: 0.592 0.689 0.180
Ti: 0.408 0.311 0.820
Ti: 0.447 0.301 0.407
Ti: 0.092 0.180 0.689
Ti: 0.553 0.699 0.593
Ti: 0.549 0.059 0.232
Ti: 0.951 0.768 0.941
Ti: 0.451 0.941 0.768
Rh: 0.750 0.421 0.579
Rh: 0.750 0.076 0.924
Rh: 0.250 0.579 0.421
Rh: 0.250 0.924 0.076
Pt: 0.293 0.544 0.013
Pt: 0.207 0.987 0.456
Pt: 0.793 0.013 0.544
Pt: 0.707 0.456 0.987

--- Q ---
This record from the Alexandria database describes a relaxed structure of Ti3PtRh. The functional is PBE-GGA.

a b c (Å): 4.623 4.623 4.623
angles (deg): 90.00 90.00 90.00
Fractional coordinates of all 5 atoms:
Ti: 0.000 0.000 0.500
Ti: 0.000 0.500 0.000
Ti: 0.500 0.000 0.000
Rh: 0.000 0.000 0.000
Pt: 0.500 0.500 0.500

--- R ---
This record from the Alexandria database describes a relaxed structure of Ti3PtRh. The functional is PBE-GGA.

a b c (Å): 4.720 4.720 4.720
angles (deg): 90.00 90.00 90.00
Fractional coordinates of all 5 atoms:
Ti: 0.000 0.500 0.000
Ti: 0.500 0.000 0.000
Ti: 0.000 0.000 0.500
Rh: 0.500 0.500 0.500
Pt: 0.000 0.000 0.000

Winner for stability: P

--- P ---
This record from the Alexandria database describes a relaxed structure of Ti2PtRh4. The functional is PBE-GGA.

a b c (Å): 4.780 4.780 7.020
angles (deg): 70.09 70.09 90.00
Fractional coordinates of all 7 atoms:
Pt: 0.000 0.000 0.000
Ti: 0.384 0.384 0.231
Ti: 0.616 0.616 0.769
Rh: 0.784 0.784 0.431
Rh: 0.000 0.500 0.000
Rh: 0.216 0.216 0.569
Rh: 0.500 0.000 0.000

--- Q ---
This record from the Alexandria database describes a relaxed structure of Ti2PtRh4. The functional is PBE-GGA.

a b c (Å): 9.215 6.072 7.205
angles (deg): 147.44 90.00 90.00
Fractional coordinates of all 14 atoms:
Rh: 0.690 0.910 0.500
Rh: 0.810 0.410 0.500
Rh: 0.310 0.090 0.500
Rh: 0.142 0.400 0.001
Rh: 0.190 0.590 0.500
Rh: 0.642 0.100 0.999
Rh: 0.858 0.600 0.999
Rh: 0.358 0.900 0.001
Ti: 0.559 0.294 0.501
Ti: 0.059 0.206 0.499
Ti: 0.441 0.706 0.499
Ti: 0.941 0.794 0.501
Pt: 0.500 0.500 0.000
Pt: 0.000 0.000 0.000

Winner for stability: Q

--- P ---
This record from the Alexandria database describes a relaxed structure of TlPtRh2. The functional is PBE-GGA.

a b c (Å): 3.965 3.965 9.775
angles (deg): 78.30 78.30 90.00
Fractional coordinates of all 8 atoms:
Rh: 0.875 0.831 0.750
Rh: 0.581 0.125 0.250
Rh: 0.169 0.625 0.250
Rh: 0.375 0.419 0.750
Pt: 0.500 0.500 0.000
Pt: 0.250 0.750 0.500
Tl: 0.000 0.000 0.000
Tl: 0.750 0.250 0.500

--- Q ---
This record from the Alexandria database describes a relaxed structure of TlPtRh2. The functional is PBE-GGA.

a b c (Å): 4.807 4.807 5.023
angles (deg): 79.80 79.80 35.63
Fractional coordinates of all 4 atoms:
Rh: 0.751 0.751 0.229
Rh: 0.249 0.249 0.771
Tl: 0.000 0.000 0.500
Pt: 0.500 0.500 0.000

Winner for stability: Q

--- P ---
This record from the Alexandria database describes a relaxed structure of TlPtRh2. The functional is PBE-GGA.

a b c (Å): 4.818 4.818 4.818
angles (deg): 129.04 129.04 74.95
Fractional coordinates of all 4 atoms:
Pt: 0.000 0.000 0.000
Rh: 0.250 0.750 0.500
Rh: 0.750 0.250 0.500
Tl: 0.500 0.500 0.000

--- Q ---
This record from the Alexandria database describes a relaxed structure of TlPtRh2. The functional is PBE-GGA.

a b c (Å): 4.542 4.542 4.542
angles (deg): 60.00 60.00 60.00
Each line ends with the local moment (μB).
Fractional coordinates of all 4 atoms:
Rh: 0.250 0.250 0.250  0.40
Rh: 0.750 0.750 0.750  0.40
Pt: 0.000 0.000 0.000  0.18
Tl: 0.500 0.500 0.500  -0.01

--- R ---
This record from the Alexandria database describes a relaxed structure of TlPtRh2. The functional is PBE-GGA.

a b c (Å): 4.632 2.982 4.778
angles (deg): 90.00 90.00 90.00
Fractional coordinates of all 4 atoms:
Pt: 0.500 0.375 0.175
Tl: 0.000 0.375 0.564
Rh: 0.000 0.875 0.065
Rh: 0.500 0.875 0.697

Winner for stability: P